! SrGa4IrPd2 | the Alexandria database | PBE-GGA | relaxed; values from VASP
&SYSTEM
  ibrav = 0, nat = 8, ntyp = 4
/
ATOMIC_SPECIES
Sr 87.62 Sr.upf
Ga 69.72 Ga.upf
Ir 192.22 Ir.upf
Pd 106.42 Pd.upf
ATOMIC_POSITIONS crystal
Sr 0.0000 0.0000 0.0000
Ga 0.1349 0.1349 0.1349
Ga 0.4058 0.4058 0.4058
Ga 0.5942 0.5942 0.5942
Ga 0.8651 0.8651 0.8651
Ir 0.5000 0.5000 0.5000
Pd 0.2314 0.2314 0.2314
Pd 0.7686 0.7686 0.7686
CELL_PARAMETERS angstrom
2.1464 1.2392 9.4780
-2.1464 1.2392 9.4780
0.0000 -2.4785 9.4780
! - DOS(E_F) (states/eV/atom) = 0.441
! - symmetry = R-3m (166)
! - calculated total energy (eV/cell) = -37.42
! - formation energy from the elements (eV/atom) = -0.5480